Record 1
! Ac2Pr2NdHo PBE-GGA optimized geometry; values from VASP
&SYSTEM
  ibrav = 0, nat = 12, ntyp = 4
/
ATOMIC_SPECIES
Ac 227.00 Ac.upf
Pr 140.91 Pr.upf
Nd 144.24 Nd.upf
Ho 164.93 Ho.upf
CELL_PARAMETERS angstrom
7.3844 0.0000 0.0000
0.0000 5.9647 0.0000
0.0000 0.0000 10.2984
ATOMIC_POSITIONS crystal
Ac 0.0000 0.0000 0.0000
Ac 0.2500 0.5000 0.1743
Ac 0.5000 0.0000 0.0000
Ac 0.7500 0.5000 0.8257
Pr 0.2500 0.0000 0.3430
Pr 0.2500 0.5000 0.8272
Pr 0.7500 0.0000 0.6570
Pr 0.7500 0.5000 0.1728
Nd 0.0000 0.5000 0.5000
Nd 0.5000 0.5000 0.5000
Ho 0.2500 0.0000 0.6640
Ho 0.7500 0.0000 0.3360
! E_form: 0.076 eV/atom


Record 2
! Tb8Ga2Pt PBE-GGA optimized geometry; values from VASP
&SYSTEM
  ibrav = 0, nat = 11, ntyp = 3
/
ATOMIC_SPECIES
Tb 158.93 Tb.upf
Ga 69.72 Ga.upf
Pt 195.08 Pt.upf
CELL_PARAMETERS angstrom
9.3303 -2.4742 0.0000
9.3303 2.4742 0.0000
-1.3965 0.0000 6.4721
ATOMIC_POSITIONS crystal
Tb 0.0249 0.0249 0.2781
Tb 0.2108 0.2108 0.8221
Tb 0.3461 0.3461 0.5178
Tb 0.4091 0.4091 0.0433
Tb 0.5909 0.5909 0.9567
Tb 0.6539 0.6539 0.4822
Tb 0.7892 0.7892 0.1779
Tb 0.9751 0.9751 0.7219
Ga 0.1872 0.1872 0.2588
Ga 0.8128 0.8128 0.7412
Pt 0.5000 0.5000 0.5000
! E_form: -0.439 eV/atom


Record 3
! LaPr7Y12 PBE-GGA optimized geometry; values from VASP
&SYSTEM
  ibrav = 0, nat = 20, ntyp = 3
/
ATOMIC_SPECIES
La 138.91 La.upf
Pr 140.91 Pr.upf
Y 88.91 Y.upf
CELL_PARAMETERS angstrom
6.2124 3.5867 5.1853
-6.2124 3.5867 5.1853
0.0000 -7.1734 5.1853
ATOMIC_POSITIONS crystal
La 0.0000 0.0000 0.0000
Pr 0.0013 0.8815 0.3583
Pr 0.1185 0.6417 0.9987
Pr 0.3583 0.0013 0.8815
Pr 0.5000 0.5000 0.5000
Pr 0.6417 0.9987 0.1185
Pr 0.8815 0.3583 0.0013
Pr 0.9987 0.1185 0.6417
Y 0.1170 0.4454 0.3463
Y 0.2236 0.7625 0.6307
Y 0.2375 0.3693 0.7764
Y 0.3463 0.1169 0.4454
Y 0.3693 0.7764 0.2375
Y 0.4454 0.3463 0.1169
Y 0.5546 0.6537 0.8830
Y 0.6307 0.2236 0.7625
Y 0.6537 0.8830 0.5546
Y 0.7625 0.6307 0.2236
Y 0.7764 0.2375 0.3693
Y 0.8831 0.5546 0.6537
! Polymorph energy (0 for the lowest one): 0.00 eV per formula unit
! E_form: 0.207 eV/atom


Number 1: raw total energy -53.3 eV per cell. Number 2: raw total energy -54.0 eV per cell. Number 3: raw total energy -111.8 eV per cell.